No. 1
A plane-wave DFT calculation with PBE-GGA was carried out for a geometry-optimized Re3Cl2 structure.

a = 7.132 Å, b = 7.132 Å, c = 5.329 Å
α = 132.00°, β = 48.00°, γ = 120.00°
Atoms (fractional coordinates):
Cl1 0.627 0.373 0.120
Cl2 0.873 0.127 0.380
Cl3 0.127 0.873 0.620
Cl4 0.373 0.627 0.880
Re1 0.901 0.401 0.250
Re2 0.599 0.750 0.250
Re3 0.250 0.099 0.250
Re4 0.750 0.901 0.750
Re5 0.401 0.250 0.750
Re6 0.099 0.599 0.750

Final energy (eV per formula unit): -34.2

No. 2
A plane-wave DFT calculation with PBE-GGA was carried out for a geometry-optimized ReSCl3 structure.

a = 6.646 Å, b = 6.646 Å, c = 6.171 Å
α = 94.22°, β = 94.22°, γ = 58.51°
Atoms (fractional coordinates):
Cl1 0.872 0.872 0.175
Cl2 0.901 0.355 0.310
Cl3 0.355 0.901 0.310
Cl4 0.645 0.099 0.690
Cl5 0.099 0.645 0.690
Cl6 0.128 0.128 0.825
Re1 0.768 0.232 0.000
Re2 0.232 0.768 0.000
S1 0.401 0.401 0.141
S2 0.599 0.599 0.859

Final energy (eV per formula unit): -24.2

No. 3
A plane-wave DFT calculation with PBE-GGA was carried out for a geometry-optimized Re3S4Cl structure.

a = 6.421 Å, b = 6.473 Å, c = 8.858 Å
α = 77.56°, β = 71.13°, γ = 86.19°
Atoms (fractional coordinates):
Cl1 0.349 0.787 0.016
Cl2 0.651 0.213 0.984
Re1 0.157 0.628 0.285
Re2 0.766 0.459 0.432
Re3 0.110 0.240 0.463
Re4 0.890 0.760 0.537
Re5 0.234 0.541 0.568
Re6 0.843 0.372 0.715
S1 0.031 0.338 0.208
S2 0.825 0.817 0.278
S3 0.464 0.405 0.321
S4 0.273 0.892 0.400
S5 0.727 0.108 0.600
S6 0.536 0.595 0.679
S7 0.175 0.183 0.722
S8 0.969 0.662 0.792

Final energy (eV per formula unit): -60.4

No. 4
A plane-wave DFT calculation with PBE-GGA was carried out for a geometry-optimized ReTeSCl4 structure.

a = 10.170 Å, b = 10.170 Å, c = 10.170 Å
α = 114.67°, β = 114.67°, γ = 99.50°
Atoms (fractional coordinates):
Cl1 0.212 0.407 0.099
Cl2 0.713 0.368 0.118
Cl3 0.548 0.988 0.181
Cl4 0.887 0.788 0.195
Cl5 0.234 0.844 0.261
Cl6 0.632 0.751 0.345
Cl7 0.156 0.416 0.390
Cl8 0.633 0.452 0.440
Cl9 0.012 0.193 0.560
Cl10 0.026 0.766 0.610
Cl11 0.405 0.287 0.655
Cl12 0.584 0.974 0.739
Cl13 0.593 0.691 0.805
Cl14 0.807 0.367 0.819
Cl15 0.249 0.595 0.882
Cl16 0.309 0.113 0.901
Re1 0.049 0.196 0.095
Re2 0.046 0.951 0.147
Re3 0.804 0.899 0.853
Re4 0.101 0.954 0.905
S1 0.867 0.070 0.133
S2 0.265 0.133 0.203
S3 0.930 0.062 0.797
S4 0.938 0.735 0.867
Te1 0.942 0.429 0.107
Te2 0.165 0.058 0.487
Te3 0.571 0.678 0.513
Te4 0.322 0.835 0.893

Final energy (eV per formula unit): -31.5

No. 5
A plane-wave DFT calculation with PBE-GGA was carried out for a geometry-optimized TlRe3S4Cl2 structure.

a = 6.405 Å, b = 8.958 Å, c = 16.701 Å
α = 95.24°, β = 92.59°, γ = 96.20°
Atoms (fractional coordinates):
Cl1 0.912 0.372 0.169
Cl2 0.168 0.759 0.198
Cl3 0.682 0.712 0.292
Cl4 0.580 0.071 0.380
Cl5 0.420 0.929 0.620
Cl6 0.318 0.288 0.708
Cl7 0.832 0.241 0.802
Cl8 0.088 0.628 0.831
Re1 0.724 0.925 0.004
Re2 0.959 0.163 0.073
Re3 0.070 0.894 0.086
Re4 0.577 0.593 0.409
Re5 0.540 0.313 0.449
Re6 0.225 0.475 0.461
Re7 0.775 0.525 0.539
Re8 0.460 0.687 0.551
Re9 0.423 0.407 0.591
Re10 0.930 0.106 0.914
Re11 0.041 0.837 0.927
Re12 0.276 0.075 0.996
S1 0.353 0.807 0.009
S2 0.843 0.682 0.017
S3 0.285 0.123 0.141
S4 0.769 0.982 0.149
S5 0.350 0.389 0.333
S6 0.857 0.432 0.399
S7 0.279 0.731 0.427
S8 0.209 0.220 0.500
S9 0.791 0.780 0.500
S10 0.721 0.269 0.573
S11 0.143 0.568 0.601
S12 0.650 0.611 0.667
S13 0.231 0.018 0.851
S14 0.715 0.877 0.859
S15 0.157 0.318 0.983
S16 0.647 0.193 0.991
Tl1 0.468 0.507 0.149
Tl2 0.044 0.999 0.331
Tl3 0.956 0.001 0.669
Tl4 0.532 0.493 0.851

Final energy (eV per formula unit): -66.9

No. 6
A plane-wave DFT calculation with PBE-GGA was carried out for a geometry-optimized Re3Se7Cl7 structure.

a = 12.097 Å, b = 14.456 Å, c = 10.390 Å
α = 90.00°, β = 90.00°, γ = 90.00°
Atoms (fractional coordinates):
Cl1 0.933 0.113 0.012
Cl2 0.067 0.613 0.012
Cl3 0.682 0.133 0.059
Cl4 0.318 0.633 0.059
Cl5 0.092 0.225 0.250
Cl6 0.346 0.246 0.250
Cl7 0.460 0.474 0.250
Cl8 0.908 0.725 0.250
Cl9 0.654 0.746 0.250
Cl10 0.540 0.974 0.250
Cl11 0.682 0.133 0.441
Cl12 0.318 0.633 0.441
Cl13 0.933 0.113 0.488
Cl14 0.067 0.613 0.488
Cl15 0.933 0.387 0.512
Cl16 0.067 0.887 0.512
Cl17 0.682 0.367 0.559
Cl18 0.318 0.867 0.559
Cl19 0.460 0.026 0.750
Cl20 0.346 0.254 0.750
Cl21 0.092 0.275 0.750
Cl22 0.540 0.526 0.750
Cl23 0.654 0.754 0.750
Cl24 0.908 0.775 0.750
Cl25 0.682 0.367 0.941
Cl26 0.318 0.867 0.941
Cl27 0.933 0.387 0.988
Cl28 0.067 0.887 0.988
Re1 0.778 0.441 0.117
Re2 0.222 0.941 0.117
Re3 0.232 0.107 0.250
Re4 0.768 0.607 0.250
Re5 0.778 0.441 0.383
Re6 0.222 0.941 0.383
Re7 0.778 0.059 0.617
Re8 0.222 0.559 0.617
Re9 0.232 0.393 0.750
Re10 0.768 0.893 0.750
Re11 0.778 0.059 0.883
Re12 0.222 0.559 0.883
Se1 0.208 0.100 0.001
Se2 0.792 0.600 0.001
Se3 0.378 0.056 0.092
Se4 0.622 0.556 0.092
Se5 0.069 0.003 0.250
Se6 0.812 0.292 0.250
Se7 0.634 0.357 0.250
Se8 0.931 0.503 0.250
Se9 0.188 0.792 0.250
Se10 0.366 0.857 0.250
Se11 0.378 0.056 0.408
Se12 0.622 0.556 0.408
Se13 0.208 0.100 0.499
Se14 0.792 0.600 0.499
Se15 0.208 0.400 0.501
Se16 0.792 0.900 0.501
Se17 0.378 0.444 0.592
Se18 0.622 0.944 0.592
Se19 0.634 0.143 0.750
Se20 0.812 0.208 0.750
Se21 0.069 0.497 0.750
Se22 0.366 0.643 0.750
Se23 0.188 0.708 0.750
Se24 0.931 0.997 0.750
Se25 0.378 0.444 0.908
Se26 0.622 0.944 0.908
Se27 0.208 0.400 0.999
Se28 0.792 0.900 0.999

Final energy (eV per formula unit): -82.4

No. 7
A plane-wave DFT calculation with PBE-GGA was carried out for a geometry-optimized ReTeSeCl4 structure.

a = 10.317 Å, b = 10.317 Å, c = 10.317 Å
α = 115.38°, β = 98.20°, γ = 115.38°
Atoms (fractional coordinates):
Cl1 0.857 0.561 0.051
Cl2 0.354 0.617 0.079
Cl3 0.296 0.905 0.097
Cl4 0.793 0.894 0.133
Cl5 0.704 0.194 0.143
Cl6 0.102 0.340 0.207
Cl7 0.490 0.439 0.296
Cl8 0.192 0.095 0.392
Cl9 0.949 0.806 0.510
Cl10 0.921 0.275 0.538
Cl11 0.263 0.725 0.646
Cl12 0.608 0.800 0.704
Cl13 0.462 0.383 0.737
Cl14 0.867 0.660 0.762
Cl15 0.903 0.200 0.808
Cl16 0.238 0.106 0.898
Re1 0.455 0.909 0.305
Re2 0.453 0.850 0.545
Re3 0.396 0.091 0.547
Re4 0.695 0.150 0.604
Se1 0.222 0.779 0.356
Se2 0.644 0.866 0.423
Se3 0.577 0.221 0.443
Se4 0.557 0.134 0.778
Te1 0.566 0.905 0.077
Te2 0.338 0.511 0.434
Te3 0.173 0.095 0.662
Te4 0.923 0.489 0.827

Final energy (eV per formula unit): -30.6

No. 8
A plane-wave DFT calculation with PBE-GGA was carried out for a geometry-optimized TlRe3Se4Cl2 structure.

a = 6.651 Å, b = 8.942 Å, c = 9.037 Å
α = 85.09°, β = 82.41°, γ = 69.24°
Atoms (fractional coordinates):
Cl1 0.092 0.418 0.239
Cl2 0.706 0.761 0.419
Cl3 0.294 0.239 0.581
Cl4 0.908 0.582 0.761
Re1 0.274 0.923 0.023
Re2 0.324 0.182 0.103
Re3 0.591 0.898 0.182
Re4 0.409 0.102 0.818
Re5 0.676 0.818 0.897
Re6 0.726 0.077 0.977
Se1 0.976 0.787 0.057
Se2 0.537 0.651 0.100
Se3 0.638 0.154 0.247
Se4 0.199 0.999 0.296
Se5 0.801 0.001 0.704
Se6 0.362 0.846 0.753
Se7 0.463 0.349 0.900
Se8 0.024 0.213 0.943
Tl1 0.192 0.637 0.470
Tl2 0.808 0.363 0.530

Final energy (eV per formula unit): -63.3

No. 9
A plane-wave DFT calculation with PBE-GGA was carried out for a geometry-optimized TlRe2Se2Cl6 structure.

a = 6.486 Å, b = 6.486 Å, c = 10.019 Å
α = 106.96°, β = 106.96°, γ = 43.93°
Atoms (fractional coordinates):
Cl1 0.851 0.851 0.129
Cl2 0.132 0.132 0.226
Cl3 0.832 0.832 0.443
Cl4 0.168 0.168 0.557
Cl5 0.868 0.868 0.774
Cl6 0.149 0.149 0.871
Re1 0.996 0.996 0.356
Re2 0.004 0.004 0.644
Se1 0.496 0.496 0.377
Se2 0.504 0.504 0.623
Tl1 0.500 0.500 0.000

Final energy (eV per formula unit): -50.3

No. 10
A plane-wave DFT calculation with PBE-GGA was carried out for a geometry-optimized TlRe6Se8Cl3 structure.

a = 9.172 Å, b = 9.162 Å, c = 11.177 Å
α = 110.06°, β = 90.60°, γ = 94.28°
Atoms (fractional coordinates):
Cl1 0.566 0.765 0.049
Cl2 0.701 0.172 0.157
Cl3 0.441 0.245 0.417
Cl4 0.559 0.755 0.583
Cl5 0.299 0.828 0.843
Cl6 0.434 0.235 0.951
Re1 0.006 0.608 0.162
Re2 0.740 0.701 0.186
Re3 0.799 0.443 0.232
Re4 0.948 0.860 0.352
Re5 0.007 0.607 0.398
Re6 0.737 0.699 0.421
Re7 0.263 0.301 0.579
Re8 0.993 0.393 0.602
Re9 0.052 0.140 0.648
Re10 0.201 0.557 0.768
Re11 0.260 0.299 0.814
Re12 0.994 0.392 0.838
Se1 0.785 0.449 0.006
Se2 0.951 0.855 0.123
Se3 0.060 0.367 0.212
Se4 0.544 0.540 0.255
Se5 0.203 0.766 0.326
Se6 0.688 0.939 0.370
Se7 0.056 0.155 0.417
Se8 0.785 0.447 0.460
Se9 0.215 0.553 0.540
Se10 0.944 0.845 0.583
Se11 0.312 0.061 0.630
Se12 0.797 0.234 0.674
Se13 0.456 0.460 0.745
Se14 0.940 0.633 0.788
Se15 0.049 0.145 0.877
Se16 0.215 0.551 0.994
Tl1 0.342 0.044 0.139
Tl2 0.658 0.956 0.861

Final energy (eV per formula unit): -120.4

No. 11
A plane-wave DFT calculation with PBE-GGA was carried out for a geometry-optimized Re3Te8Cl3 structure.

a = 18.597 Å, b = 8.635 Å, c = 10.833 Å
α = 90.00°, β = 90.00°, γ = 90.00°
Atoms (fractional coordinates):
Cl1 0.779 0.105 0.002
Cl2 0.221 0.895 0.002
Cl3 0.796 0.059 0.326
Cl4 0.204 0.941 0.326
Cl5 0.247 0.327 0.339
Cl6 0.753 0.673 0.339
Cl7 0.747 0.173 0.661
Cl8 0.253 0.827 0.661
Cl9 0.296 0.441 0.674
Cl10 0.704 0.559 0.674
Cl11 0.279 0.395 0.998
Cl12 0.721 0.605 0.998
Re1 0.516 0.153 0.069
Re2 0.484 0.847 0.069
Re3 0.400 0.048 0.193
Re4 0.600 0.952 0.193
Re5 0.516 0.153 0.318
Re6 0.484 0.847 0.318
Re7 0.016 0.347 0.682
Re8 0.984 0.653 0.682
Re9 0.900 0.452 0.807
Re10 0.100 0.548 0.807
Re11 0.016 0.347 0.931
Re12 0.984 0.653 0.931
Te1 0.898 0.451 0.058
Te2 0.102 0.549 0.058
Te3 0.054 0.128 0.101
Te4 0.946 0.872 0.101
Te5 0.256 0.122 0.179
Te6 0.744 0.878 0.179
Te7 0.430 0.352 0.193
Te8 0.570 0.648 0.193
Te9 0.636 0.253 0.194
Te10 0.364 0.747 0.194
Te11 0.994 0.273 0.308
Te12 0.006 0.727 0.308
Te13 0.397 0.048 0.443
Te14 0.603 0.952 0.443
Te15 0.555 0.373 0.485
Te16 0.445 0.627 0.485
Te17 0.055 0.127 0.515
Te18 0.945 0.873 0.515
Te19 0.897 0.452 0.557
Te20 0.103 0.548 0.557
Te21 0.494 0.227 0.692
Te22 0.506 0.773 0.692
Te23 0.136 0.247 0.806
Te24 0.864 0.753 0.806
Te25 0.930 0.148 0.807
Te26 0.070 0.852 0.807
Te27 0.756 0.378 0.821
Te28 0.244 0.622 0.821
Te29 0.554 0.372 0.899
Te30 0.446 0.628 0.899
Te31 0.398 0.049 0.942
Te32 0.602 0.951 0.942

Final energy (eV per formula unit): -72.0

No. 12
A plane-wave DFT calculation with PBE-GGA was carried out for a geometry-optimized ReTe2Cl4 structure.

a = 10.452 Å, b = 10.452 Å, c = 10.452 Å
α = 116.55°, β = 116.55°, γ = 96.09°
Atoms (fractional coordinates):
Cl1 0.358 0.683 0.064
Cl2 0.396 0.182 0.076
Cl3 0.818 0.894 0.214
Cl4 0.004 0.567 0.247
Cl5 0.889 0.245 0.321
Cl6 0.707 0.642 0.325
Cl7 0.432 0.111 0.356
Cl8 0.433 0.680 0.437
Cl9 0.243 0.996 0.563
Cl10 0.755 0.076 0.644
Cl11 0.317 0.382 0.675
Cl12 0.924 0.568 0.679
Cl13 0.320 0.757 0.753
Cl14 0.680 0.604 0.786
Cl15 0.106 0.320 0.924
Cl16 0.618 0.293 0.936
Re1 0.193 0.031 0.076
Re2 0.969 0.046 0.162
Re3 0.883 0.807 0.838
Re4 0.954 0.117 0.924
Te1 0.405 0.905 0.052
Te2 0.082 0.827 0.119
Te3 0.173 0.292 0.255
Te4 0.648 0.595 0.500
Te5 0.095 0.148 0.500
Te6 0.037 0.918 0.745
Te7 0.708 0.963 0.881
Te8 0.852 0.352 0.948

Final energy (eV per formula unit): -29.7